The following is a DFT calculation (GGA-PBE) of a relaxed Pm4Ga2Ag crystal.

Unit cell a=8.833 b=8.833 c=8.833 alpha=34.12 beta=34.12 gamma=34.12
Fractional coordinates of all 7 atoms:
Pm  0.119  0.119  0.119
Pm  0.371  0.371  0.371
Pm  0.629  0.629  0.629
Pm  0.881  0.881  0.881
Ga  0.248  0.248  0.248
Ga  0.752  0.752  0.752
Ag  0.500  0.500  0.500

Output
ΔH_f (0 K) = -342 meV/atom